A plane-wave DFT calculation with PBE-GGA was carried out for a relaxed structure of SrAg2S2.

```
data_SrAg2S2
_chemical_formula_sum 'Sr2 Ag4 S4'
_space_group_name_H-M_alt 'I 4/m m m'
_space_group_IT_number 139
_space_group_name_Hall '-I 4 2'
_cell_length_a 3.995
_cell_length_b 3.995
_cell_length_c 13.621
_cell_angle_alpha 90.00
_cell_angle_beta 90.00
_cell_angle_gamma 90.00
loop_
_atom_site_label
_atom_site_fract_x
_atom_site_fract_y
_atom_site_fract_z
Sr1 0.000 0.000 0.000
Ag1 0.000 0.500 0.250
S1 0.000 0.000 0.385
```

Values from the calculation:
total DFT energy (no corrections): -0.143 hartree per atom
M_tot: 0.0 Bohr magnetons per cell


A plane-wave DFT calculation with PBE-GGA was carried out for a relaxed structure of Ce2SmSn.

```
data_Ce2SmSn
_chemical_formula_sum 'Ce2 Sm1 Sn1'
_space_group_name_H-M_alt 'P 4/m m m'
_space_group_IT_number 123
_space_group_name_Hall '-P 4 2'
_cell_length_a 4.228
_cell_length_b 4.228
_cell_length_c 6.800
_cell_angle_alpha 90.00
_cell_angle_beta 90.00
_cell_angle_gamma 90.00
loop_
_atom_site_label
_atom_site_fract_x
_atom_site_fract_y
_atom_site_fract_z
Ce1 0.000 0.000 0.203
Sm1 0.500 0.500 0.500
Sn1 0.500 0.500 0.000
```

Values from the calculation:
total DFT energy (no corrections): -0.200 hartree per atom
energy of formation from the pure elements: -0.307 eV per atom
M_tot: 2.1 Bohr magnetons per cell


A plane-wave DFT calculation with PBE-GGA was carried out for a relaxed structure of Pd2PtBr.

```
data_Pd2PtBr
_chemical_formula_sum 'Pd8 Pt4 Br4'
_space_group_name_H-M_alt 'I -4 2 d'
_space_group_IT_number 122
_space_group_name_Hall 'I -4 2bw'
_cell_length_a 7.316
_cell_length_b 7.316
_cell_length_c 5.400
_cell_angle_alpha 90.00
_cell_angle_beta 90.00
_cell_angle_gamma 90.00
loop_
_atom_site_label
_atom_site_fract_x
_atom_site_fract_y
_atom_site_fract_z
Pd1 0.246 0.750 0.125
Pt1 0.000 0.000 0.500
Br1 0.000 0.000 0.000
```

Values from the calculation:
total DFT energy (no corrections): -0.151 hartree per atom
M_tot: 0.0 Bohr magnetons per cell